[1]
# Be3BOs, relaxed, DFT PBE
# N(E_F): 0.313 states/eV/atom
# E_tot: -21.23 eV per cell
# DFT formation energy: 7.85 eV/f.u.
data_Be3BOs
_cell_length_a 4.1933
_cell_length_b 4.1933
_cell_length_c 4.1933
_cell_angle_alpha 90.00
_cell_angle_beta 90.00
_cell_angle_gamma 90.00
_space_group_name_H-M_alt 'P m -3 m'
_space_group_IT_number 221
_space_group_name_Hall '-P 4 2 3'
loop_
_atom_site_label
_atom_site_fract_x
_atom_site_fract_y
_atom_site_fract_z
Be1 0.0000 0.0000 0.5000
B1 0.5000 0.5000 0.5000
Os1 0.0000 0.0000 0.0000



[2]
# Ca2LaSm, relaxed, DFT PBE
# N(E_F): 1.615 states/eV/atom
# E_tot: -13.13 eV per cell
# DFT formation energy: 0.51 eV/f.u.
data_Ca2LaSm
_cell_length_a 5.1641
_cell_length_b 5.1641
_cell_length_c 5.6868
_cell_angle_alpha 90.00
_cell_angle_beta 90.00
_cell_angle_gamma 90.00
_space_group_name_H-M_alt 'P 4/m m m'
_space_group_IT_number 123
_space_group_name_Hall '-P 4 2'
loop_
_atom_site_label
_atom_site_fract_x
_atom_site_fract_y
_atom_site_fract_z
Ca1 0.0000 0.5000 0.0000
La1 0.0000 0.0000 0.5000
Sm1 0.5000 0.5000 0.5000



[3]
# NaPrEu, relaxed, DFT PBE
# N(E_F): 1.052 states/eV/atom
# E_tot: -16.05 eV per cell
# DFT formation energy: 0.33 eV/f.u.
data_NaPrEu
_cell_length_a 3.7364
_cell_length_b 3.7364
_cell_length_c 9.5137
_cell_angle_alpha 90.00
_cell_angle_beta 90.00
_cell_angle_gamma 120.00
_space_group_name_H-M_alt 'P 3 m 1'
_space_group_IT_number 156
_space_group_name_Hall 'P 3 -2"'
loop_
_atom_site_label
_atom_site_fract_x
_atom_site_fract_y
_atom_site_fract_z
Na1 0.0000 0.0000 0.0000
Pr1 0.3333 0.6667 0.6669
Eu1 0.6667 0.3333 0.3478



[4]
# Ba2MnTe, relaxed, DFT PBE
# formation energy without anion corrections: -0.433 eV per atom
# N(E_F): 0.908 states/eV/atom
# E_tot: -35.78 eV per cell
data_Ba2MnTe
_cell_length_a 4.8043
_cell_length_b 4.8557
_cell_length_c 13.0553
_cell_angle_alpha 90.00
_cell_angle_beta 90.00
_cell_angle_gamma 90.00
_space_group_name_H-M_alt 'A m m 2'
_space_group_IT_number 38
_space_group_name_Hall 'A 2 -2'
loop_
_atom_site_label
_atom_site_fract_x
_atom_site_fract_y
_atom_site_fract_z
Ba1 0.0000 0.0000 0.0000
Ba2 0.5000 0.0000 0.2853
Mn1 0.5000 0.0000 0.5687
Te1 0.0000 0.0000 0.7081



[5]
# LiPdPb3, relaxed, DFT PBE
# N(E_F): 0.344 states/eV/atom
# E_tot: -37.99 eV per cell
# DFT formation energy: -0.76 eV/f.u.
data_LiPdPb3
_cell_length_a 3.3733
_cell_length_b 10.4672
_cell_length_c 7.2807
_cell_angle_alpha 90.00
_cell_angle_beta 103.38
_cell_angle_gamma 90.00
_space_group_name_H-M_alt 'P 1 21/m 1'
_space_group_IT_number 11
_space_group_name_Hall '-P 2yb'
loop_
_atom_site_label
_atom_site_fract_x
_atom_site_fract_y
_atom_site_fract_z
Li1 0.0052 0.2500 0.0372
Pd1 0.3462 0.2500 0.7276
Pb1 0.1387 0.5258 0.2334
Pb2 0.3130 0.7500 0.6041



[6]
# RbCd6As4, relaxed, DFT PBE
# N(E_F): 0.129 states/eV/atom
# E_tot: -53.65 eV per cell
# DFT formation energy: -1.77 eV/f.u.
data_RbCd6As4
_cell_length_a 4.7247
_cell_length_b 4.7247
_cell_length_c 27.0465
_cell_angle_alpha 90.00
_cell_angle_beta 90.00
_cell_angle_gamma 90.00
_space_group_name_H-M_alt 'I 4/m m m'
_space_group_IT_number 139
_space_group_name_Hall '-I 4 2'
loop_
_atom_site_label
_atom_site_fract_x
_atom_site_fract_y
_atom_site_fract_z
Rb1 0.0000 0.0000 0.0000
Cd1 0.0000 0.5000 0.1281
Cd2 0.0000 0.5000 0.2500
As1 0.0000 0.0000 0.1930
As2 0.0000 0.0000 0.4254